# Er2BiPt9 | the Alexandria database | PBE-GGA | optimized geometry
data_Er2BiPt9
_chemical_formula_sum 'Er2 Bi1 Pt9'
_symmetry_space_group_name_H-M 'P 1'
_symmetry_Int_Tables_number 1
_symmetry_space_group_name_Hall 'P 1'
_cell_length_a 4.1128
_cell_length_b 4.1128
_cell_length_c 12.4181
_cell_angle_alpha 90.00
_cell_angle_beta 90.00
_cell_angle_gamma 90.00
loop_
_atom_site_label
_atom_site_type_symbol
_atom_site_fract_x
_atom_site_fract_y
_atom_site_fract_z
_atom_site_occupancy
Bi1 Bi 0.0000 0.0000 0.0000 1
Pt1 Pt 0.5000 0.5000 0.3335 1
Pt2 Pt 0.5000 0.0000 0.8286 1
Pt3 Pt 0.0000 0.5000 0.1714 1
Pt4 Pt 0.5000 0.5000 0.0000 1
Pt5 Pt 0.0000 0.5000 0.8286 1
Pt6 Pt 0.5000 0.0000 0.1714 1
Pt7 Pt 0.0000 0.5000 0.5000 1
Pt8 Pt 0.5000 0.5000 0.6665 1
Pt9 Pt 0.5000 0.0000 0.5000 1
Er1 Er 0.0000 0.0000 0.6619 1
Er2 Er 0.0000 0.0000 0.3381 1
# Energy of formation: -0.74 eV/atom
# Spin magnetization: 0.0000 μB/atom
# Symmetry: P4/mmm
# E: -6.3518 eV/atom

***

# Er2BiPt | the Alexandria database | PBE-GGA | optimized geometry
data_Er2BiPt
_chemical_formula_sum 'Er2 Bi1 Pt1'
_symmetry_space_group_name_H-M 'P 1'
_symmetry_Int_Tables_number 1
_symmetry_space_group_name_Hall 'P 1'
_cell_length_a 4.2823
_cell_length_b 4.2823
_cell_length_c 7.2940
_cell_angle_alpha 72.93
_cell_angle_beta 72.93
_cell_angle_gamma 60.00
loop_
_atom_site_label
_atom_site_type_symbol
_atom_site_fract_x
_atom_site_fract_y
_atom_site_fract_z
_atom_site_occupancy
Er1 Er 0.7378 0.7378 0.7866 1
Er2 Er 0.2622 0.2622 0.2134 1
Bi1 Bi 0.5000 0.5000 0.5000 1
Pt1 Pt 0.0000 0.0000 0.0000 1
# Energy of formation: -0.89 eV/atom
# Spin magnetization: 0.0000 μB/atom
# Excess energy over the best structure of this formula in the dataset: 0.000 eV per atom
# Symmetry: R-3m
# E: -5.6559 eV/atom

***

# Er2BiPt | the Alexandria database | PBE-GGA | optimized geometry
data_Er2BiPt
_chemical_formula_sum 'Er2 Bi1 Pt1'
_symmetry_space_group_name_H-M 'P 1'
_symmetry_Int_Tables_number 1
_symmetry_space_group_name_Hall 'P 1'
_cell_length_a 3.5524
_cell_length_b 3.5524
_cell_length_c 7.9201
_cell_angle_alpha 90.00
_cell_angle_beta 90.00
_cell_angle_gamma 90.00
loop_
_atom_site_label
_atom_site_type_symbol
_atom_site_fract_x
_atom_site_fract_y
_atom_site_fract_z
_atom_site_occupancy
Er1 Er 0.0000 0.0000 0.2074 1
Er2 Er 0.0000 0.0000 0.7926 1
Pt1 Pt 0.5000 0.5000 0.0000 1
Bi1 Bi 0.5000 0.5000 0.5000 1
# Energy of formation: -0.89 eV/atom
# Spin magnetization: 0.0000 μB/atom
# Excess energy over the best structure of this formula in the dataset: 0.007 eV per atom
# Symmetry: P4/mmm
# E: -5.6491 eV/atom

***

# Er5Bi2Pt | the Alexandria database | PBE-GGA | optimized geometry
data_Er5Bi2Pt
_chemical_formula_sum 'Er10 Bi4 Pt2'
_symmetry_space_group_name_H-M 'P 1'
_symmetry_Int_Tables_number 1
_symmetry_space_group_name_Hall 'P 1'
_cell_length_a 4.5472
_cell_length_b 8.0102
_cell_length_c 12.3104
_cell_angle_alpha 90.00
_cell_angle_beta 90.00
_cell_angle_gamma 90.00
loop_
_atom_site_label
_atom_site_type_symbol
_atom_site_fract_x
_atom_site_fract_y
_atom_site_fract_z
_atom_site_occupancy
Er1 Er 0.0000 0.6433 0.7019 1
Er2 Er 0.0000 0.0000 0.5000 1
Er3 Er 0.5000 0.1815 0.0646 1
Er4 Er 0.5000 0.3185 0.5646 1
Er5 Er 0.5000 0.8185 0.9354 1
Er6 Er 0.0000 0.8567 0.2019 1
Er7 Er 0.5000 0.6815 0.4354 1
Er8 Er 0.0000 0.1433 0.7981 1
Er9 Er 0.0000 0.3567 0.2981 1
Er10 Er 0.0000 0.5000 0.0000 1
Pt1 Pt 0.0000 0.0000 0.0000 1
Pt2 Pt 0.0000 0.5000 0.5000 1
Bi1 Bi 0.5000 0.4298 0.8276 1
Bi2 Bi 0.5000 0.9298 0.6724 1
Bi3 Bi 0.5000 0.0702 0.3276 1
Bi4 Bi 0.5000 0.5702 0.1724 1
# Energy of formation: -0.78 eV/atom
# Spin magnetization: 0.0000 μB/atom
# Excess energy over the best structure of this formula in the dataset: 0.000 eV per atom
# Symmetry: Pbam
# E: -5.3550 eV/atom

***

# Er8Bi2Pt | the Alexandria database | PBE-GGA | optimized geometry
data_Er8Bi2Pt
_chemical_formula_sum 'Er8 Bi2 Pt1'
_symmetry_space_group_name_H-M 'P 1'
_symmetry_Int_Tables_number 1
_symmetry_space_group_name_Hall 'P 1'
_cell_length_a 4.7142
_cell_length_b 7.2042
_cell_length_c 9.6842
_cell_angle_alpha 94.71
_cell_angle_beta 104.09
_cell_angle_gamma 90.00
loop_
_atom_site_label
_atom_site_type_symbol
_atom_site_fract_x
_atom_site_fract_y
_atom_site_fract_z
_atom_site_occupancy
Er1 Er 0.4050 0.4716 0.8100 1
Er2 Er 0.7868 0.6442 0.5736 1
Er3 Er 0.9919 0.7668 0.9837 1
Er4 Er 0.3575 0.9433 0.7149 1
Er5 Er 0.2132 0.3558 0.4264 1
Er6 Er 0.0081 0.2332 0.0163 1
Er7 Er 0.6425 0.0567 0.2851 1
Er8 Er 0.5950 0.5284 0.1900 1
Bi1 Bi 0.1811 0.7909 0.3621 1
Bi2 Bi 0.8189 0.2091 0.6379 1
Pt1 Pt 0.5000 0.0000 0.0000 1
# Energy of formation: -0.48 eV/atom
# Spin magnetization: 0.0001 μB/atom
# Symmetry: C2/m
# E: -5.0560 eV/atom

***

# Er4BiPt | the Alexandria database | PBE-GGA | optimized geometry
data_Er4BiPt
_chemical_formula_sum 'Er16 Bi4 Pt4'
_symmetry_space_group_name_H-M 'P 1'
_symmetry_Int_Tables_number 1
_symmetry_space_group_name_Hall 'P 1'
_cell_length_a 4.0223
_cell_length_b 8.2713
_cell_length_c 19.4271
_cell_angle_alpha 90.00
_cell_angle_beta 90.00
_cell_angle_gamma 90.00
loop_
_atom_site_label
_atom_site_type_symbol
_atom_site_fract_x
_atom_site_fract_y
_atom_site_fract_z
_atom_site_occupancy
Er1 Er 0.7500 0.4502 0.2872 1
Er2 Er 0.7500 0.3554 0.0504 1
Er3 Er 0.2500 0.1309 0.3491 1
Er4 Er 0.2500 0.0498 0.7872 1
Er5 Er 0.2500 0.1446 0.5504 1
Er6 Er 0.7500 0.0235 0.9333 1
Er7 Er 0.7500 0.5235 0.5667 1
Er8 Er 0.7500 0.8691 0.6509 1
Er9 Er 0.2500 0.4765 0.4333 1
Er10 Er 0.7500 0.8554 0.4496 1
Er11 Er 0.7500 0.9502 0.2128 1
Er12 Er 0.7500 0.3691 0.8491 1
Er13 Er 0.2500 0.9765 0.0667 1
Er14 Er 0.2500 0.6446 0.9496 1
Er15 Er 0.2500 0.6309 0.1509 1
Er16 Er 0.2500 0.5498 0.7128 1
Pt1 Pt 0.7500 0.2226 0.4468 1
Pt2 Pt 0.2500 0.2774 0.9468 1
Pt3 Pt 0.7500 0.7226 0.0532 1
Pt4 Pt 0.2500 0.7774 0.5532 1
Bi1 Bi 0.2500 0.2523 0.1861 1
Bi2 Bi 0.2500 0.7523 0.3139 1
Bi3 Bi 0.7500 0.7477 0.8139 1
Bi4 Bi 0.7500 0.2477 0.6861 1
# Energy of formation: -0.76 eV/atom
# Spin magnetization: 0.0356 μB/atom
# Excess energy over the best structure of this formula in the dataset: 0.000 eV per atom
# Symmetry: Pnma
# E: -5.4547 eV/atom

***

# Er4BiPt | the Alexandria database | PBE-GGA | optimized geometry
data_Er4BiPt
_chemical_formula_sum 'Er8 Bi2 Pt2'
_symmetry_space_group_name_H-M 'P 1'
_symmetry_Int_Tables_number 1
_symmetry_space_group_name_Hall 'P 1'
_cell_length_a 7.0820
_cell_length_b 7.0552
_cell_length_c 7.4019
_cell_angle_alpha 90.00
_cell_angle_beta 91.15
_cell_angle_gamma 90.00
loop_
_atom_site_label
_atom_site_type_symbol
_atom_site_fract_x
_atom_site_fract_y
_atom_site_fract_z
_atom_site_occupancy
Er1 Er 0.8283 0.1630 0.3710 1
Er2 Er 0.6717 0.6630 0.6290 1
Er3 Er 0.1717 0.8370 0.6290 1
Er4 Er 0.8687 0.6374 0.1788 1
Er5 Er 0.6313 0.1374 0.8212 1
Er6 Er 0.3283 0.3370 0.3710 1
Er7 Er 0.1313 0.3626 0.8212 1
Er8 Er 0.3687 0.8626 0.1788 1
Bi1 Bi 0.0000 0.0000 0.0000 1
Bi2 Bi 0.5000 0.5000 0.0000 1
Pt1 Pt 0.5000 0.0000 0.5000 1
Pt2 Pt 0.0000 0.5000 0.5000 1
# Energy of formation: -0.56 eV/atom
# Spin magnetization: 0.0000 μB/atom
# Excess energy over the best structure of this formula in the dataset: 0.196 eV per atom
# Symmetry: P2_1/c
# E: -5.2588 eV/atom

***

# ErBiPtRh | the Alexandria database | PBE-GGA | optimized geometry
data_ErBiPtRh
_chemical_formula_sum 'Er1 Bi1 Pt1 Rh1'
_symmetry_space_group_name_H-M 'P 1'
_symmetry_Int_Tables_number 1
_symmetry_space_group_name_Hall 'P 1'
_cell_length_a 4.8544
_cell_length_b 4.8544
_cell_length_c 4.8544
_cell_angle_alpha 60.00
_cell_angle_beta 60.00
_cell_angle_gamma 60.00
loop_
_atom_site_label
_atom_site_type_symbol
_atom_site_fract_x
_atom_site_fract_y
_atom_site_fract_z
_atom_site_occupancy
Rh1 Rh 0.2500 0.2500 0.2500 1
Bi1 Bi 0.5000 0.5000 0.5000 1
Er1 Er 0.0000 0.0000 0.0000 1
Pt1 Pt 0.7500 0.7500 0.7500 1
# Energy of formation: -0.64 eV/atom
# Spin magnetization: 0.0000 μB/atom
# Symmetry: F-43m
# E: -6.0956 eV/atom

***

# Er2PuBi | the Alexandria database | PBE-GGA | optimized geometry
data_Er2PuBi
_chemical_formula_sum 'Er2 Pu1 Bi1'
_symmetry_space_group_name_H-M 'P 1'
_symmetry_Int_Tables_number 1
_symmetry_space_group_name_Hall 'P 1'
_cell_length_a 3.9907
_cell_length_b 3.9907
_cell_length_c 7.2228
_cell_angle_alpha 90.00
_cell_angle_beta 90.00
_cell_angle_gamma 90.00
loop_
_atom_site_label
_atom_site_type_symbol
_atom_site_fract_x
_atom_site_fract_y
_atom_site_fract_z
_atom_site_occupancy
Pu1 Pu 0.5000 0.5000 0.0000 1
Er1 Er 0.0000 0.0000 0.2654 1
Er2 Er 0.0000 0.0000 0.7346 1
Bi1 Bi 0.5000 0.5000 0.5000 1
# Energy of formation: -0.21 eV/atom
# Spin magnetization: 1.7070 μB/atom
# Excess energy over the best structure of this formula in the dataset: 0.042 eV per atom
# Symmetry: P4/mmm
# E: -7.0431 eV/atom

***

# ErPu2Bi3 | the Alexandria database | PBE-GGA | optimized geometry
data_ErPu2Bi3
_chemical_formula_sum 'Er4 Pu8 Bi12'
_symmetry_space_group_name_H-M 'P 1'
_symmetry_Int_Tables_number 1
_symmetry_space_group_name_Hall 'P 1'
_cell_length_a 7.8134
_cell_length_b 7.8163
_cell_length_c 14.2732
_cell_angle_alpha 100.52
_cell_angle_beta 100.52
_cell_angle_gamma 109.46
loop_
_atom_site_label
_atom_site_type_symbol
_atom_site_fract_x
_atom_site_fract_y
_atom_site_fract_z
_atom_site_occupancy
Pu1 Pu 0.5830 0.5830 0.1660 1
Pu2 Pu 0.2509 0.2509 0.5018 1
Pu3 Pu 0.6670 0.1670 0.3340 1
Pu4 Pu 0.8330 0.3330 0.6660 1
Pu5 Pu 0.5009 0.0009 0.0018 1
Pu6 Pu 0.4170 0.4170 0.8340 1
Pu7 Pu 0.9991 0.4991 0.9982 1
Pu8 Pu 0.7491 0.7491 0.4982 1
Bi1 Bi 0.6657 0.1624 0.8323 1
Bi2 Bi 0.4124 0.4157 0.3323 1
Bi3 Bi 0.0042 0.5043 0.5000 1
Bi4 Bi 0.5843 0.5876 0.6677 1
Bi5 Bi 0.0834 0.0801 0.6677 1
Bi6 Bi 0.8376 0.3343 0.1677 1
Bi7 Bi 0.2458 0.2457 0.0000 1
Bi8 Bi 0.7543 0.7543 0.0000 1
Bi9 Bi 0.1666 0.6699 0.8323 1
Bi10 Bi 0.3301 0.8334 0.1677 1
Bi11 Bi 0.4957 0.9957 0.5000 1
Bi12 Bi 0.9199 0.9166 0.3323 1
Er1 Er 0.1663 0.6663 0.3327 1
Er2 Er 0.3337 0.8337 0.6674 1
Er3 Er 0.9163 0.9163 0.8326 1
Er4 Er 0.0837 0.0837 0.1673 1
# Energy of formation: -0.48 eV/atom
# Spin magnetization: 0.0001 μB/atom
# Symmetry: Fddd
# E: -7.9568 eV/atom

***

# Er4PuBi5 | the Alexandria database | PBE-GGA | optimized geometry
data_Er4PuBi5
_chemical_formula_sum 'Er4 Pu1 Bi5'
_symmetry_space_group_name_H-M 'P 1'
_symmetry_Int_Tables_number 1
_symmetry_space_group_name_Hall 'P 1'
_cell_length_a 4.4640
_cell_length_b 6.3183
_cell_length_c 11.8269
_cell_angle_alpha 105.49
_cell_angle_beta 100.88
_cell_angle_gamma 90.00
loop_
_atom_site_label
_atom_site_type_symbol
_atom_site_fract_x
_atom_site_fract_y
_atom_site_fract_z
_atom_site_occupancy
Bi1 Bi 0.0000 0.5000 0.0000 1
Bi2 Bi 0.1997 0.6997 0.3993 1
Bi3 Bi 0.8003 0.3003 0.6007 1
Bi4 Bi 0.3978 0.8978 0.7956 1
Bi5 Bi 0.6022 0.1022 0.2044 1
Pu1 Pu 0.0000 0.0000 0.0000 1
Er1 Er 0.3995 0.3995 0.7991 1
Er2 Er 0.7983 0.7983 0.5966 1
Er3 Er 0.2017 0.2017 0.4034 1
Er4 Er 0.6005 0.6005 0.2009 1
# Energy of formation: -0.71 eV/atom
# Spin magnetization: 0.5227 μB/atom
# Symmetry: Immm
# E: -5.9086 eV/atom

***

# Er2PuBi | the Alexandria database | PBE-GGA | optimized geometry
data_Er2PuBi
_chemical_formula_sum 'Er2 Pu1 Bi1'
_symmetry_space_group_name_H-M 'P 1'
_symmetry_Int_Tables_number 1
_symmetry_space_group_name_Hall 'P 1'
_cell_length_a 3.4324
_cell_length_b 3.4324
_cell_length_c 12.0811
_cell_angle_alpha 81.83
_cell_angle_beta 81.83
_cell_angle_gamma 60.00
loop_
_atom_site_label
_atom_site_type_symbol
_atom_site_fract_x
_atom_site_fract_y
_atom_site_fract_z
_atom_site_occupancy
Pu1 Pu 0.0000 0.0000 0.0000 1
Bi1 Bi 0.5000 0.5000 0.5000 1
Er1 Er 0.0912 0.0912 0.7264 1
Er2 Er 0.9088 0.9088 0.2736 1
# Energy of formation: 0.15 eV/atom
# Spin magnetization: 1.5923 μB/atom
# Excess energy over the best structure of this formula in the dataset: 0.398 eV per atom
# Symmetry: R-3m
# E: -6.6874 eV/atom

***

DOS at the Fermi energy
In order: 6.67 2.13 2.38 11.24 10.78 24.96 10.74 2.17 8.74 124.01 18.06 10.15
Unit: states/eV per cell